(1)
Compound: ZnInSi2
Source: the Alexandria database
Functional: PBE
Structure: optimized geometry

The calculation puts the total energy at -38.751 eV per cell. For the uncorrected formation energy, the calculation gives 46.83 kJ/mol of atoms. The calculation puts the total moment at 0.0 μB per formula unit. Its calculated density is 5.22 g/cm3. The crystal system is trigonal.

Geometry as CIF:
```
data_ZnInSi2
_chemical_formula_sum 'Zn3 In3 Si6'
_symmetry_space_group_name_H-M 'R -3 m'
_symmetry_Int_Tables_number 166
_symmetry_space_group_name_Hall '-R 3 2"'
_cell_length_a 2.9169
_cell_length_b 2.9169
_cell_length_c 30.6374
_cell_angle_alpha 90.00
_cell_angle_beta 90.00
_cell_angle_gamma 120.00
loop_
_atom_site_label
_atom_site_fract_x
_atom_site_fract_y
_atom_site_fract_z
_atom_site_occupancy
Zn1 0.0000 0.0000 0.0000 1
In1 0.0000 0.0000 0.5000 1
Si1 0.0000 0.0000 0.2603 1
```

(2)
Compound: ZnInSi2
Source: the Alexandria database
Functional: PBE
Structure: optimized geometry

The calculation puts the total energy at -51.057 eV per cell. For the uncorrected formation energy, the calculation gives 50.52 kJ/mol of atoms. The calculation puts the total moment at 0.0 μB per formula unit. Its calculated density is 5.22 g/cm3. The crystal system is cubic.

Geometry as CIF:
```
data_ZnInSi2
_chemical_formula_sum 'Zn4 In4 Si8'
_symmetry_space_group_name_H-M 'F m -3 m'
_symmetry_Int_Tables_number 225
_symmetry_space_group_name_Hall '-F 4 2 3'
_cell_length_a 6.701
_cell_length_b 6.701
_cell_length_c 6.701
_cell_angle_alpha 90.00
_cell_angle_beta 90.00
_cell_angle_gamma 90.00
loop_
_atom_site_label
_atom_site_fract_x
_atom_site_fract_y
_atom_site_fract_z
_atom_site_occupancy
Zn1 0.000 0.000 0.000 1
In1 0.000 0.000 0.500 1
Si1 0.250 0.250 0.250 1
```

(3)
Compound: ZnInSi2
Source: the Alexandria database
Functional: PBE
Structure: optimized geometry

The calculation puts the total energy at -13.432 eV per cell. For the uncorrected formation energy, the calculation gives 34.40 kJ/mol of atoms. The calculation puts the total moment at 0.0 μB per formula unit. Its calculated density is 4.96 g/cm3. The crystal system is monoclinic.

Geometry as CIF:
```
data_ZnInSi2
_chemical_formula_sum 'Zn1 In1 Si2'
_symmetry_space_group_name_H-M 'P 1 2/m 1'
_symmetry_Int_Tables_number 10
_cell_length_a 2.919
_cell_length_b 4.643
_cell_length_c 6.010
_cell_angle_alpha 90.00
_cell_angle_beta 103.71
_cell_angle_gamma 90.00
loop_
_symmetry_equiv_pos_as_xyz
'x,y,z'
'-x,-y,-z'
'-x,y,-z'
'x,-y,z'
loop_
_atom_site_label
_atom_site_fract_x
_atom_site_fract_y
_atom_site_fract_z
_atom_site_occupancy
Zn1 0.000 0.000 0.000 1
In1 0.000 0.000 0.500 1
Si1 0.169 0.500 0.828 1
```

(4)
Compound: ZnInSi2
Source: the Alexandria database
Functional: PBE
Structure: optimized geometry

The calculation puts the total energy at -27.805 eV per cell. For the uncorrected formation energy, the calculation gives 23.06 kJ/mol of atoms. The calculation puts the total moment at 0.0 μB per formula unit. Its calculated density is 4.86 g/cm3. The crystal system is monoclinic.

Geometry as CIF:
```
data_ZnInSi2
_chemical_formula_sum 'Zn2 In2 Si4'
_symmetry_space_group_name_H-M 'C 1 m 1'
_symmetry_Int_Tables_number 8
_cell_length_a 6.446
_cell_length_b 3.784
_cell_length_c 7.062
_cell_angle_alpha 90.00
_cell_angle_beta 110.37
_cell_angle_gamma 90.00
loop_
_symmetry_equiv_pos_as_xyz
'x,y,z'
'x,-y,z'
'x+1/2,y+1/2,z'
'x+1/2,-y+1/2,z'
loop_
_atom_site_label
_atom_site_fract_x
_atom_site_fract_y
_atom_site_fract_z
_atom_site_occupancy
Zn1 0.000 0.000 0.000 1
In1 0.232 0.000 0.700 1
Si1 0.240 0.500 0.237 1
Si2 0.464 0.000 0.392 1
```

(5)
Compound: ZnInSi2
Source: the Alexandria database
Functional: PBE
Structure: optimized geometry

The calculation puts the total energy at -26.106 eV per cell. For the uncorrected formation energy, the calculation gives 43.54 kJ/mol of atoms. The calculation puts the total moment at 0.0 μB per formula unit. Its calculated density is 5.36 g/cm3. The crystal system is tetragonal.

Geometry as CIF:
```
data_ZnInSi2
_chemical_formula_sum 'Zn2 In2 Si4'
_symmetry_space_group_name_H-M 'I 4/m m m'
_symmetry_Int_Tables_number 139
_symmetry_space_group_name_Hall '-I 4 2'
_cell_length_a 4.033
_cell_length_b 4.033
_cell_length_c 9.005
_cell_angle_alpha 90.00
_cell_angle_beta 90.00
_cell_angle_gamma 90.00
loop_
_atom_site_label
_atom_site_fract_x
_atom_site_fract_y
_atom_site_fract_z
_atom_site_occupancy
Zn1 0.000 0.000 0.000 1
In1 0.000 0.000 0.500 1
Si1 0.000 0.500 0.250 1
```

(6)
Compound: ZnInSi2
Source: the Alexandria database
Functional: PBE
Structure: optimized geometry

The calculation puts the total energy at -40.111 eV per cell. For the uncorrected formation energy, the calculation gives 35.90 kJ/mol of atoms. The calculation puts the total moment at 0.0 μB per formula unit. Its calculated density is 5.29 g/cm3. The crystal system is trigonal.

Geometry as CIF:
```
data_ZnInSi2
_chemical_formula_sum 'Zn3 In3 Si6'
_symmetry_space_group_name_H-M 'R 3 m'
_symmetry_Int_Tables_number 160
_symmetry_space_group_name_Hall 'R 3 -2"'
_cell_length_a 3.1384
_cell_length_b 3.1384
_cell_length_c 26.0946
_cell_angle_alpha 90.00
_cell_angle_beta 90.00
_cell_angle_gamma 120.00
loop_
_atom_site_label
_atom_site_fract_x
_atom_site_fract_y
_atom_site_fract_z
_atom_site_occupancy
Zn1 0.0000 0.0000 0.0000 1
In1 0.0000 0.0000 0.2401 1
Si1 0.0000 0.0000 0.4762 1
Si2 0.0000 0.0000 0.7417 1
```

(7)
Compound: Zn5In12Si3
Source: the Alexandria database
Functional: PBE
Structure: optimized geometry

The calculation puts the total energy at -404.005 eV per cell. For the uncorrected formation energy, the calculation gives 24.12 kJ/mol of atoms. The calculation puts the total moment at 0.0 μB per formula unit. Its calculated density is 5.55 g/cm3. The crystal system is cubic.

Geometry as CIF:
```
data_Zn5In12Si3
_chemical_formula_sum 'Zn40 In96 Si24'
_symmetry_space_group_name_H-M 'I a -3 d'
_symmetry_Int_Tables_number 230
_symmetry_space_group_name_Hall '-I 4bd 2c 3'
_cell_length_a 16.238
_cell_length_b 16.238
_cell_length_c 16.238
_cell_angle_alpha 90.00
_cell_angle_beta 90.00
_cell_angle_gamma 90.00
loop_
_atom_site_label
_atom_site_fract_x
_atom_site_fract_y
_atom_site_fract_z
_atom_site_occupancy
Zn1 0.000 0.000 0.000 1
Zn2 0.000 0.250 0.375 1
In1 0.021 0.078 0.650 1
Si1 0.000 0.250 0.125 1
```

(8)
Compound: Zn4InSi
Source: the Alexandria database
Functional: PBE
Structure: optimized geometry

The calculation puts the total energy at -46.973 eV per cell. For the uncorrected formation energy, the calculation gives 24.35 kJ/mol of atoms. The calculation puts the total moment at 0.0 μB per formula unit. Its calculated density is 6.40 g/cm3. The crystal system is cubic.

Geometry as CIF:
```
data_Zn4InSi
_chemical_formula_sum 'Zn16 In4 Si4'
_symmetry_space_group_name_H-M 'F -4 3 m'
_symmetry_Int_Tables_number 216
_symmetry_space_group_name_Hall 'F -4 2 3'
_cell_length_a 7.489
_cell_length_b 7.489
_cell_length_c 7.489
_cell_angle_alpha 90.00
_cell_angle_beta 90.00
_cell_angle_gamma 90.00
loop_
_atom_site_label
_atom_site_fract_x
_atom_site_fract_y
_atom_site_fract_z
_atom_site_occupancy
Zn1 0.124 0.124 0.124 1
In1 0.000 0.000 0.500 1
Si1 0.250 0.250 0.750 1
```